1.
Compound: CeCuPdS3
Source: the Alexandria database
Functional: PBE
Structure: optimized geometry

a b c (Å): 6.6744 3.8582 8.9718
angles (deg): 90.00 109.30 90.00
Last column: nearest neighbours and their distance in Å.
Space group P2_1/m (No. 11)
Asymmetric unit:
Ce 0.0004 0.2500 0.2348  7 S 2.80-3.02
Cu 0.4065 0.7500 0.6142  5 S 2.39-2.58
Pd 0.4807 0.2500 0.8526  3 S 2.45
S 0.1730 0.2500 0.6094  1 Pd 2.45, 2 Cu 2.47
S 0.2156 0.2500 0.9872  1 Pd 2.45
S 0.3223 0.7500 0.3338  3 Cu 2.39-2.58, 1 Pd 2.45

## Properties
DFT total energy   -5.51 eV/atom

---

2.
Compound: Ce2CuSb4Pd3
Source: the Alexandria database
Functional: PBE
Structure: optimized geometry

a b c (Å): 4.5848 4.5848 10.8032
angles (deg): 90.00 90.00 90.00
Last column: nearest neighbours and their distance in Å.
Space group P-4m2 (No. 115)
Asymmetric unit:
Ce 0.0000 0.5000 0.2359  2 Cu 3.43, 6 Pd 3.43-3.54, 8 Sb 3.45-3.66
Cu 0.5000 0.5000 0.0000  4 Sb 2.68
Sb 0.0000 0.0000 0.5000  4 Pd 2.70
Sb 0.0000 0.5000 0.8721  3 Pd 2.59-2.68, 2 Cu 2.68
Sb 0.5000 0.5000 0.5000  4 Pd 2.70
Pd 0.0000 0.0000 0.0000  4 Sb 2.68
Pd 0.0000 0.5000 0.6322  5 Sb 2.59-2.70

## Properties
DFT total energy   -5.48 eV/atom